VASP calculation (PBE with a Hubbard U) on MnH2F2 after structural relaxation.

abc: 3.3677 3.3644 7.9449
angles: 114.39 108.93 60.02
With the nearest neighbours (Å) after each atom.
Positions (direct):
Mn  0.0000  0.0000  0.0000  6 F 2.17
F  0.3827  0.4393  0.1339  3 Mn 2.17
F  0.6173  0.5607  0.8661  3 Mn 2.17
H  0.1197  0.4715  0.5275  1 H 0.75
H  0.8803  0.5285  0.4725  1 H 0.75

* calculated total energy: -0.3794 Ry/atom
* N(E_F): 0.0000 states/eV/atom